DFT (PBE) results for a geometry-optimized RbZr3V structure.

abc: 5.0205 5.0205 5.0205
angles: 90.00 90.00 90.00
Fractional positions:
Rb 0.0000 0.0000 0.0000
Zr 0.0000 0.0000 0.5000
Zr 0.0000 0.5000 0.0000
Zr 0.5000 0.0000 0.0000
V 0.5000 0.5000 0.5000

Properties
As for the theoretical density: 5.4 g/cm³. The energy is -4.901 eV per atom. Its energy of formation from the pure elements is 11.225 eV/f.u. As for the energy above the most stable polymorph in this dataset: 1279 meV/atom.


DFT (PBE) results for a geometry-optimized RbW structure.

abc: 7.4948 7.4948 7.3069
angles: 90.00 90.00 90.00
Fractional positions:
Rb 0.1716 0.1716 0.0000
Rb 0.3284 0.6716 0.5000
Rb 0.6716 0.3284 0.5000
Rb 0.8284 0.8284 0.0000
W 0.0991 0.0991 0.5000
W 0.4009 0.5991 0.0000
W 0.5991 0.4009 0.0000
W 0.9009 0.9009 0.5000

Properties
As for the theoretical density: 4.4 g/cm³. The energy is -4.766 eV per atom. Its energy of formation from the pure elements is 4.389 eV/f.u. As for the energy above the most stable polymorph in this dataset: 1309 meV/atom.


DFT (PBE) results for a geometry-optimized RbW structure.

abc: 9.5203 8.6543 6.2390
angles: 77.60 62.60 39.80
Fractional positions:
Rb 0.0366 0.7134 0.0366
Rb 0.2866 0.9634 0.2866
Rb 0.7134 0.0366 0.7134
Rb 0.9634 0.2866 0.9634
W 0.3074 0.3074 0.4426
W 0.4426 0.4426 0.3074
W 0.5574 0.5574 0.6926
W 0.6926 0.6926 0.5574

Properties
As for the theoretical density: 6.3 g/cm³. The energy is -5.019 eV per atom. Its energy of formation from the pure elements is 3.882 eV/f.u. As for the energy above the most stable polymorph in this dataset: 1055 meV/atom.


DFT (PBE) results for a geometry-optimized RbW structure.

abc: 10.4310 10.4310 10.4310
angles: 90.00 90.00 90.00
Fractional positions:
Rb 0.0000 0.2500 0.5000
Rb 0.0000 0.7500 0.5000
Rb 0.2500 0.5000 0.0000
Rb 0.5000 0.0000 0.2500
Rb 0.5000 0.0000 0.7500
Rb 0.7500 0.5000 0.0000
W 0.0000 0.5000 0.2500
W 0.0000 0.5000 0.7500
W 0.2500 0.0000 0.5000
W 0.5000 0.2500 0.0000
W 0.5000 0.7500 0.0000
W 0.7500 0.0000 0.5000

Properties
As for the theoretical density: 2.4 g/cm³. The energy is -3.564 eV per atom. Its energy of formation from the pure elements is 6.793 eV/f.u. As for the energy above the most stable polymorph in this dataset: 2511 meV/atom.


Number 1: DOS(E_F) 9.5 states/eV per cell. Number 2: DOS(E_F) 0.0 states/eV per cell. Number 3: DOS(E_F) 4.3 states/eV per cell. Number 4: DOS(E_F) 0.1 states/eV per cell.